(P)
First-principles (GGA-PBE) data for crystalline HgTe2Se at its relaxed geometry, as listed in Alexandria via LeMat-Bulk.

Cell and atoms, written as CIF:
```
data_HgTe2Se
_chemical_formula_sum 'Hg2 Te4 Se2'
_space_group_name_H-M_alt 'I -4 m 2'
_space_group_IT_number 119
_space_group_name_Hall 'I -4 -2'
_cell_length_a 4.056
_cell_length_b 4.056
_cell_length_c 17.714
_cell_angle_alpha 90.00
_cell_angle_beta 90.00
_cell_angle_gamma 90.00
loop_
_atom_site_label
_atom_site_fract_x
_atom_site_fract_y
_atom_site_fract_z
Hg1 0.000 0.000 0.000
Te1 0.000 0.000 0.500
Te2 0.000 0.500 0.250
Se1 0.000 0.500 0.750
```

Computed properties:
V = 291.3 Å³/cell

***

(Q)
First-principles (GGA-PBE) data for crystalline HgTe2Se at its relaxed geometry, as listed in Alexandria via LeMat-Bulk.

Cell and atoms, written as CIF:
```
data_HgTe2Se
_chemical_formula_sum 'Hg1 Te2 Se1'
_space_group_name_H-M_alt 'P m m m'
_space_group_IT_number 47
_space_group_name_Hall '-P 2 2'
_cell_length_a 4.051
_cell_length_b 4.064
_cell_length_c 8.881
_cell_angle_alpha 90.00
_cell_angle_beta 90.00
_cell_angle_gamma 90.00
loop_
_atom_site_label
_atom_site_fract_x
_atom_site_fract_y
_atom_site_fract_z
Hg1 0.000 0.000 0.000
Te1 0.000 0.500 0.500
Te2 0.500 0.500 0.000
Se1 0.500 0.000 0.500
```

Computed properties:
V = 146.2 Å³/cell

***

Short version: (Q) is the least stable of them.

***

(P)
First-principles (GGA-PBE) data for crystalline YIrW2 at its relaxed geometry, as listed in Alexandria via LeMat-Bulk.

Cell and atoms, written as CIF:
```
data_YIrW2
_chemical_formula_sum 'Y1 Ir1 W2'
_space_group_name_H-M_alt 'P 4/m m m'
_space_group_IT_number 123
_space_group_name_Hall '-P 4 2'
_cell_length_a 4.481
_cell_length_b 4.481
_cell_length_c 3.522
_cell_angle_alpha 90.00
_cell_angle_beta 90.00
_cell_angle_gamma 90.00
loop_
_atom_site_label
_atom_site_fract_x
_atom_site_fract_y
_atom_site_fract_z
Y1 0.000 0.000 0.000
Ir1 0.500 0.500 0.000
W1 0.000 0.500 0.500
```

Computed properties:
V = 70.7 Å³/cell

***

(Q)
First-principles (GGA-PBE) data for crystalline YIrW2 at its relaxed geometry, as listed in Alexandria via LeMat-Bulk.

Cell and atoms, written as CIF:
```
data_YIrW2
_chemical_formula_sum 'Y2 Ir2 W4'
_space_group_name_H-M_alt 'C 1 2/m 1'
_space_group_IT_number 12
_space_group_name_Hall '-C 2y'
_cell_length_a 5.482
_cell_length_b 9.543
_cell_length_c 2.855
_cell_angle_alpha 90.00
_cell_angle_beta 109.04
_cell_angle_gamma 90.00
loop_
_atom_site_label
_atom_site_fract_x
_atom_site_fract_y
_atom_site_fract_z
Y1 0.000 0.000 0.000
Ir1 0.000 0.500 0.000
W1 0.250 0.250 0.500
```

Computed properties:
V = 141.2 Å³/cell

***

Short version: (P) is the least stable of them.

***

(P)
First-principles (GGA-PBE) data for crystalline MgAs4P4O16 at its relaxed geometry, as listed in Alexandria via LeMat-Bulk.

Cell and atoms, written as CIF:
```
data_MgAs4P4O16
_chemical_formula_sum 'Mg1 As4 P4 O16'
_space_group_name_H-M_alt 'P 1 m 1'
_space_group_IT_number 6
_space_group_name_Hall 'P -2y'
_cell_length_a 8.485
_cell_length_b 5.078
_cell_length_c 8.983
_cell_angle_alpha 90.00
_cell_angle_beta 96.24
_cell_angle_gamma 90.00
loop_
_atom_site_label
_atom_site_fract_x
_atom_site_fract_y
_atom_site_fract_z
Mg1 0.000 0.000 0.000
As1 0.221 0.000 0.811
As2 0.230 0.000 0.373
As3 0.573 0.500 0.795
As4 0.709 0.500 0.273
P1 0.049 0.500 0.198
P2 0.215 0.500 0.647
P3 0.578 0.000 0.442
P4 0.693 0.000 0.957
O1 0.113 0.256 0.680
O2 0.153 0.243 0.217
O3 0.270 0.500 0.492
O4 0.357 0.500 0.780
O5 0.431 0.000 0.312
O6 0.522 0.000 0.594
O7 0.577 0.247 0.943
O8 0.683 0.246 0.415
O9 0.786 0.000 0.115
O10 0.809 0.000 0.841
O11 0.929 0.500 0.321
O12 0.973 0.500 0.038
```

Computed properties:
V = 384.7 Å³/cell

***

(Q)
First-principles (GGA-PBE) data for crystalline MgAs4P4O16 at its relaxed geometry, as listed in Alexandria via LeMat-Bulk.

Cell and atoms, written as CIF:
```
data_MgAs4P4O16
_chemical_formula_sum 'Mg1 As4 P4 O16'
_space_group_name_H-M_alt 'P 1 m 1'
_space_group_IT_number 6
_space_group_name_Hall 'P -2y'
_cell_length_a 8.548
_cell_length_b 5.015
_cell_length_c 8.570
_cell_angle_alpha 90.00
_cell_angle_beta 95.16
_cell_angle_gamma 90.00
loop_
_atom_site_label
_atom_site_fract_x
_atom_site_fract_y
_atom_site_fract_z
Mg1 0.000 0.000 0.000
As1 0.239 0.500 0.571
As2 0.368 0.000 0.073
As3 0.776 0.500 0.775
As4 0.840 0.000 0.251
P1 0.167 0.500 0.219
P2 0.413 0.000 0.745
P3 0.642 0.500 0.109
P4 0.922 0.000 0.661
O1 0.005 0.500 0.269
O2 0.071 0.000 0.580
O3 0.194 0.246 0.114
O4 0.278 0.000 0.867
O5 0.299 0.500 0.363
O6 0.389 0.249 0.635
O7 0.474 0.500 0.033
O8 0.567 0.000 0.843
O9 0.672 0.250 0.211
O10 0.760 0.000 0.583
O11 0.773 0.500 0.986
O12 0.938 0.242 0.795
```

Computed properties:
V = 365.9 Å³/cell

***

Short version: (Q) is the least stable of them.

***

(P)
First-principles (GGA-PBE) data for crystalline BC3 at its relaxed geometry, as listed in Alexandria via LeMat-Bulk.

Cell and atoms, written as CIF:
```
data_BC3
_chemical_formula_sum 'B4 C12'
_space_group_name_H-M_alt 'F m m 2'
_space_group_IT_number 42
_space_group_name_Hall 'F 2 -2'
_cell_length_a 2.596
_cell_length_b 6.731
_cell_length_c 5.842
_cell_angle_alpha 90.00
_cell_angle_beta 90.00
_cell_angle_gamma 90.00
loop_
_atom_site_label
_atom_site_fract_x
_atom_site_fract_y
_atom_site_fract_z
B1 0.000 0.000 0.000
C1 0.000 0.000 0.348
C2 0.000 0.191 0.190
```

Computed properties:
V = 102.1 Å³/cell

***

(Q)
First-principles (GGA-PBE) data for crystalline BC3 at its relaxed geometry, as listed in Alexandria via LeMat-Bulk.

Cell and atoms, written as CIF:
```
data_BC3
_chemical_formula_sum 'B3 C9'
_space_group_name_H-M_alt 'P 3 m 1'
_space_group_IT_number 156
_space_group_name_Hall 'P 3 -2"'
_cell_length_a 2.5439
_cell_length_b 2.5439
_cell_length_c 13.1843
_cell_angle_alpha 90.00
_cell_angle_beta 90.00
_cell_angle_gamma 120.00
loop_
_atom_site_label
_atom_site_fract_x
_atom_site_fract_y
_atom_site_fract_z
B1 0.0000 0.0000 0.0000
B2 0.3333 0.6667 0.0802
B3 0.6667 0.3333 0.8317
C1 0.0000 0.0000 0.3959
C2 0.0000 0.0000 0.5143
C3 0.0000 0.0000 0.8847
C4 0.3333 0.6667 0.2004
C5 0.3333 0.6667 0.5523
C6 0.3333 0.6667 0.6712
C7 0.6667 0.3333 0.2395
C8 0.6667 0.3333 0.3575
C9 0.6667 0.3333 0.7090
```

Computed properties:
V = 73.9 Å³/cell

***

Short version: (P) is the least stable of them.